Computed, not measured: a relaxed structure of Y2TiNbRe at the GGA-PBE level of DFT.

Summary:
**ΔE_f**: 1.25 eV/atom
**DOS at the Fermi energy**: 9.2 states/eV per cell

Cell lengths 5.3446, 5.3446, 4.6772 Å; angles 90.00, 90.00, 90.00 degrees
Space group P4/mmm (No. 123)
Unique sites:
1 Y 0.0000 0.5000 0.0000 [2 per cell]
2 Ti 0.0000 0.0000 0.5000 [1 per cell]
3 Nb 0.5000 0.5000 0.0000 [1 per cell]
4 Re 0.5000 0.5000 0.5000 [1 per cell]